Entry 1:
Compound: Nb2HPdPt
Source: the Alexandria database
Functional: PBE
Structure: optimized geometry

Lattice parameters (Å, degrees): 4.0740 4.0740 4.1153 90.00 90.00 90.00
Space group P4/mmm (No. 123)
Unique sites:
Nb 0.0000 0.5000 0.0000 [2 per cell]
H 0.0000 0.0000 0.0000 [1 per cell]
Pd 0.0000 0.0000 0.5000 [1 per cell]
Pt 0.5000 0.5000 0.5000 [1 per cell]

- Total magnetization: 0.00 μB per atom
- Calculated density: 11.87 g/cm³
- E_tot: -36.67 eV per cell

Entry 2:
Compound: ZrTa2Te2
Source: the Alexandria database
Functional: PBE
Structure: optimized geometry

Lattice parameters (Å, degrees): 5.2187 5.2187 8.7402 90.00 90.00 90.00
Space group I4/mmm (No. 139)
Unique sites:
Zr 0.0000 0.0000 0.0000 [2 per cell]
Ta 0.0000 0.0000 0.3615 [4 per cell]
Te 0.0000 0.5000 0.2500 [4 per cell]

- Total magnetization: 0.00 μB per atom
- Calculated density: 9.88 g/cm³
- Energy relative to the elements, uncorrected: 0.35 eV per atom

Entry 3:
Compound: V2HgOsI
Source: the Alexandria database
Functional: PBE
Structure: optimized geometry

Lattice parameters (Å, degrees): 4.8021 4.8021 5.2910 90.00 90.00 90.00
Space group P4/mmm (No. 123)
Unique sites:
V 0.0000 0.5000 0.0000 [2 per cell]
Hg 0.0000 0.0000 0.5000 [1 per cell]
Os 0.0000 0.0000 0.0000 [1 per cell]
I 0.5000 0.5000 0.5000 [1 per cell]

- Total magnetization: 0.84 μB per atom
- Calculated density: 8.43 g/cm³
- Energy relative to the elements, uncorrected: 0.93 eV per atom

Entry 4:
Compound: Ac3CeSn3
Source: the Alexandria database
Functional: PBE
Structure: optimized geometry

Lattice parameters (Å, degrees): 9.0761 13.8695 8.7074 90.00 94.25 90.00
Space group C2/m (No. 12)
Unique sites:
Ac 0.0000 0.1629 0.0000 [4 per cell]
Ac 0.0000 0.2298 0.5000 [4 per cell]
Ac 0.1129 0.5000 0.8460 [4 per cell]
Ce 0.2482 0.0000 0.5910 [4 per cell]
Sn 0.0595 0.0000 0.2852 [4 per cell]
Sn 0.1860 0.3269 0.2041 [8 per cell]

- Total magnetization: 0.11 μB per atom
- Calculated density: 7.15 g/cm³
- Formation energy from the elements: -39.3 kJ per mole of atoms